The following is a GGA+U calculation of a relaxed structure of NbWNF2, from Alexandria via LeMat-Bulk.

CIF file:
```
data_NbWNF2
_chemical_formula_sum 'Nb1 W1 N1 F2'
_cell_length_a 4.1894
_cell_length_b 4.1894
_cell_length_c 4.2553
_cell_angle_alpha 90.00
_cell_angle_beta 90.00
_cell_angle_gamma 90.00
_space_group_name_H-M_alt 'P 4/m m m'
_space_group_IT_number 123
_space_group_name_Hall '-P 4 2'
loop_
_atom_site_label
_atom_site_fract_x
_atom_site_fract_y
_atom_site_fract_z
_atom_site_occupancy
Nb1 0.0000 0.0000 0.0000 1
W1 0.5000 0.5000 0.5000 1
N1 0.5000 0.5000 0.0000 1
F1 0.0000 0.5000 0.5000 1
```

Properties
The density of states at the Fermi level comes out at 4.804 states/eV/cell. For the volume, the calculation gives 75 Å³/cell. The offset from the most stable computed form is 310.4 meV per atom.